Record 1
Entry from Alexandria: a crystal of CaSi2Ni relaxed with PBEsol (meta-GGA SCAN).

M_tot = 0.00 μB per formula unit
space-group type = No. 166
formation energy without anion corrections = -2.3 eV per formula unit

a = 3.8473 Å, b = 3.8473 Å, c = 5.7577 Å
α = 70.48°, β = 70.48°, γ = 60.00°
Closest atoms and distances in Å follow each position.
Atoms (fractional coordinates):
Si1 0.2085 0.2085 0.3746  3 Ni 2.32, 3 Si 2.59
Si2 0.7915 0.7915 0.6254  3 Ni 2.32, 3 Si 2.59
Ni1 0.5000 0.5000 0.5000  6 Si 2.32
Ca1 0.0000 0.0000 0.0000  8 Si 2.98-3.32

=====

Record 2
Entry from Alexandria: a crystal of ScInBRh2 relaxed with PBEsol (meta-GGA SCAN).

M_tot = 0.00 μB per formula unit
ΔH_f (0 K) = 1.848 eV/atom
space-group type = No. 123

a = 4.7472 Å, b = 4.7472 Å, c = 5.1469 Å
α = 90.00°, β = 90.00°, γ = 90.00°
Closest atoms and distances in Å follow each position.
Atoms (fractional coordinates):
In1 0.0000 0.0000 0.0000  4 Rh 2.37, 2 Sc 2.57
Sc1 0.0000 0.0000 0.5000  2 In 2.57
Rh1 0.5000 0.0000 0.0000  2 In 2.37
Rh2 0.0000 0.5000 0.0000  2 In 2.37
B1 0.5000 0.5000 0.5000  4 Sc 3.36, 8 Rh 3.50

=====

Record 3
Entry from Alexandria: a crystal of YRh2Pb relaxed with PBEsol (meta-GGA SCAN).

M_tot = 0.00 μB per formula unit
ΔH_f (0 K) = -0.609 eV/atom
space-group type = No. 123

a = 3.6860 Å, b = 4.4544 Å, c = 4.4544 Å
α = 90.00°, β = 90.00°, γ = 90.00°
Closest atoms and distances in Å follow each position.
Atoms (fractional coordinates):
Rh1 0.0000 0.5000 0.0000  4 Y 2.89, 4 Pb 2.89, 4 Rh 3.15
Y1 0.5000 0.5000 0.5000  8 Rh 2.89, 4 Pb 3.15
Rh2 0.0000 0.0000 0.5000  4 Pb 2.89, 4 Y 2.89, 4 Rh 3.15
Pb1 0.5000 0.0000 0.0000  8 Rh 2.89, 4 Y 3.15

=====

Record 4
Entry from Alexandria: a crystal of CdIrSe relaxed with PBEsol (meta-GGA SCAN).

M_tot = 0.00 μB per formula unit
space-group type = No. 187
formation energy without anion corrections = 0.9 eV per formula unit

a = 3.2262 Å, b = 4.3371 Å, c = 4.3371 Å
α = 120.00°, β = 90.00°, γ = 90.00°
Closest atoms and distances in Å follow each position.
Atoms (fractional coordinates):
Cd1 0.0000 0.0000 0.0000  6 Se 2.98, 6 Ir 2.98, 2 Cd 3.23
Ir1 0.5000 0.3333 0.6667  3 Se 2.50
Se1 0.5000 0.6667 0.3333  3 Ir 2.50

=====

Record 5
Entry from Alexandria: a crystal of Tm3AlNi8 relaxed with PBEsol (meta-GGA SCAN).

M_tot = 0.00 μB per formula unit
ΔH_f (0 K) = -0.490 eV/atom
space-group type = No. 194

a = 4.9440 Å, b = 4.9440 Å, c = 15.7018 Å
α = 90.00°, β = 90.00°, γ = 120.00°
Closest atoms and distances in Å follow each position.
Atoms (fractional coordinates):
Ni1 0.3383 0.1691 0.6250  6 Ni 2.41-2.51, 1 Al 2.44
Ni2 0.1691 0.3383 0.1250  6 Ni 2.41-2.51, 1 Al 2.44
Tm1 0.6667 0.3333 0.0455  9 Ni 2.77-3.02, 3 Al 2.94
Ni3 0.8309 0.1691 0.8750  6 Ni 2.41-2.51, 1 Al 2.44
Tm2 0.6667 0.3333 0.2500  18 Ni 2.85-3.16
Al1 0.0000 0.0000 0.0000  6 Ni 2.44
Tm3 0.3333 0.6667 0.7500  18 Ni 2.85-3.16
Ni4 0.1691 0.3383 0.3750  6 Ni 2.41-2.51, 1 Al 2.44
Tm4 0.6667 0.3333 0.4545  9 Ni 2.77-3.02, 3 Al 2.94
Ni5 0.0000 0.0000 0.7500  6 Ni 2.44
Ni6 0.6667 0.3333 0.7500  6 Ni 2.41
Ni7 0.1691 0.8309 0.1250  6 Ni 2.41-2.51, 1 Al 2.44
Ni8 0.3383 0.1691 0.8750  6 Ni 2.41-2.51, 1 Al 2.44
Tm5 0.3333 0.6667 0.9545  9 Ni 2.77-3.02, 3 Al 2.94
Ni9 0.8309 0.6617 0.8750  6 Ni 2.41-2.51, 1 Al 2.44
Ni10 0.8309 0.1691 0.6250  6 Ni 2.41-2.51, 1 Al 2.44
Tm6 0.3333 0.6667 0.5455  9 Ni 2.77-3.02, 3 Al 2.94
Ni11 0.0000 0.0000 0.2500  6 Ni 2.44
Ni12 0.6617 0.8309 0.1250  6 Ni 2.41-2.51, 1 Al 2.44
Ni13 0.1691 0.8309 0.3750  6 Ni 2.41-2.51, 1 Al 2.44
Ni14 0.8309 0.6617 0.6250  6 Ni 2.41-2.51, 1 Al 2.44
Al2 0.0000 0.0000 0.5000  6 Ni 2.44
Ni15 0.3333 0.6667 0.2500  6 Ni 2.41
Ni16 0.6617 0.8309 0.3750  6 Ni 2.41-2.51, 1 Al 2.44

=====

Record 6
Entry from Alexandria: a crystal of MnCd3S relaxed with PBEsol (meta-GGA SCAN).

M_tot = 4.12 μB per formula unit
space-group type = No. 221
formation energy without anion corrections = 3.1 eV per formula unit

a = 5.0357 Å, b = 5.0357 Å, c = 5.0357 Å
α = 90.00°, β = 90.00°, γ = 90.00°
Closest atoms and distances in Å follow each position.
Atoms (fractional coordinates):
Cd1 0.5000 0.0000 0.0000  2 Mn 2.52
Cd2 0.0000 0.0000 0.5000  2 Mn 2.52
Cd3 0.0000 0.5000 0.0000  2 Mn 2.52
Mn1 0.0000 0.0000 0.0000  6 Cd 2.52
S1 0.5000 0.5000 0.5000  12 Cd 3.56

=====

Record 7
Entry from Alexandria: a crystal of Cs2GaAgI6 relaxed with PBEsol (meta-GGA SCAN).

M_tot = 0.00 μB per formula unit
space-group type = No. 225
formation energy without anion corrections = -8.8 eV per formula unit

a = 8.1022 Å, b = 8.1022 Å, c = 8.1022 Å
α = 60.00°, β = 60.00°, γ = 60.00°
Closest atoms and distances in Å follow each position.
Atoms (fractional coordinates):
I1 0.2458 0.7542 0.2458  1 Ga 2.82, 1 Ag 2.91
I2 0.7542 0.2458 0.2458  1 Ga 2.82, 1 Ag 2.91
Ag1 0.5000 0.5000 0.5000  6 I 2.91
I3 0.7542 0.7542 0.2458  1 Ga 2.82, 1 Ag 2.91
I4 0.2458 0.2458 0.7542  1 Ga 2.82, 1 Ag 2.91
Cs1 0.2500 0.2500 0.2500  12 I 4.05
Cs2 0.7500 0.7500 0.7500  12 I 4.05
Ga1 0.0000 0.0000 0.0000  6 I 2.82
I5 0.7542 0.2458 0.7542  1 Ga 2.82, 1 Ag 2.91
I6 0.2458 0.7542 0.7542  1 Ga 2.82, 1 Ag 2.91

=====

Record 8
Entry from Alexandria: a crystal of LiY2Ru relaxed with PBEsol (meta-GGA SCAN).

energy relative to the lowest polymorph listed for this composition = 0 kJ/mol of formula units
M_tot = 0.00 μB per formula unit
ΔH_f (0 K) = -0.314 eV/atom
space-group type = No. 225

a = 4.8511 Å, b = 4.8511 Å, c = 4.8511 Å
α = 60.00°, β = 60.00°, γ = 60.00°
Closest atoms and distances in Å follow each position.
Atoms (fractional coordinates):
Y1 0.7500 0.7500 0.7500  4 Li 2.97, 4 Ru 2.97
Li1 0.5000 0.5000 0.5000  8 Y 2.97
Ru1 0.0000 0.0000 0.0000  8 Y 2.97
Y2 0.2500 0.2500 0.2500  4 Li 2.97, 4 Ru 2.97

=====

Record 9
Entry from Alexandria: a crystal of ReHI2 relaxed with PBEsol (meta-GGA SCAN).

M_tot = 0.00 μB per formula unit
calculated total energy = -35.85 eV per atom
space-group type = No. 122

a = 5.6821 Å, b = 5.6821 Å, c = 6.6731 Å
α = 115.20°, β = 115.20°, γ = 90.00°
Closest atoms and distances in Å follow each position.
Atoms (fractional coordinates):
I1 0.6250 0.5847 0.7500  2 H 2.28, 2 Re 2.55
Re1 0.2500 0.7500 0.5000  4 I 2.55
I2 0.1250 0.1653 0.7500  2 H 2.28, 2 Re 2.55
I3 0.4153 0.8750 0.2500  2 H 2.28, 2 Re 2.55
Re2 0.0000 0.0000 0.0000  4 I 2.55
H1 0.5000 0.5000 0.0000  4 I 2.28
H2 0.7500 0.2500 0.5000  4 I 2.28
I4 0.8347 0.3750 0.2500  2 H 2.28, 2 Re 2.55

=====

Record 10
Entry from Alexandria: a crystal of Ba3Ta4TiO15 relaxed with PBEsol (meta-GGA SCAN).

energy relative to the lowest polymorph listed for this composition = 0 kJ/mol of formula units
M_tot = 0.00 μB per formula unit
space-group type = No. 7
formation energy without anion corrections = -75.1 eV per formula unit

a = 3.9706 Å, b = 12.5542 Å, c = 12.6093 Å
α = 90.00°, β = 90.00°, γ = 90.15°
Closest atoms and distances in Å follow each position.
Atoms (fractional coordinates):
Ta1 0.7989 0.7140 0.1745  6 O 1.93-2.05
Ba1 0.2950 0.1910 0.1024  8 O 2.72-3.02
O1 0.8069 0.9292 0.6069  1 Ti 1.97, 1 Ta 2.06
O2 0.8069 0.4292 0.3931  1 Ti 1.97, 1 Ta 2.06
O3 0.8032 0.2175 0.4695  1 Ta 1.95, 1 Ti 1.97
O4 0.3146 0.7913 0.6735  1 Ti 1.79
O5 0.8038 0.3536 0.1778  1 Ta 1.99, 1 Ti 2.09
O6 0.3034 0.5748 0.4577  2 Ta 1.98-2.00
Ti1 0.7662 0.2865 0.3293  4 O 1.79-1.97
O7 0.8034 0.4931 0.5933  2 Ta 1.96-1.98
Ba2 0.2984 0.9943 0.7477  12 O 2.72-2.84
O8 0.8060 0.5090 0.9058  2 Ta 1.96-1.97
O9 0.8056 0.8419 0.2588  2 Ta 1.93-2.01
O10 0.8026 0.7822 0.0344  2 Ta 1.96-2.03
O11 0.3027 0.4183 0.0417  2 Ta 1.98-2.00
Ta2 0.7996 0.9264 0.9624  6 O 1.96-2.03
Ta3 0.7989 0.2140 0.8255  6 O 1.93-2.05
O12 0.8056 0.3419 0.7412  2 Ta 1.93-2.01
O13 0.8032 0.7175 0.5305  1 Ta 1.95, 1 Ti 1.97
O14 0.8060 0.0090 0.0942  2 Ta 1.96-1.97
O15 0.3027 0.9183 0.9583  2 Ta 1.98-2.00
O16 0.8036 0.6372 0.3175  2 Ta 1.98-2.05
O17 0.8076 0.6552 0.7502  1 Ta 1.93, 1 Ti 1.94
Ba3 0.2984 0.4943 0.2523  12 O 2.72-2.84
O18 0.8034 0.9931 0.4067  2 Ta 1.96-1.98
O19 0.8031 0.5647 0.1120  2 Ta 1.97-2.03
O20 0.8036 0.1372 0.6825  2 Ta 1.98-2.05
Ba4 0.2938 0.8391 0.4357  8 O 2.75-3.07
O21 0.3011 0.9976 0.2507  2 Ta 1.93-2.05
Ba5 0.2938 0.3391 0.5643  8 O 2.75-3.07
Ta4 0.7860 0.5016 0.7501  6 O 1.93-2.05
Ba6 0.2950 0.6910 0.8976  8 O 2.72-3.02
O22 0.8026 0.2822 0.9656  2 Ta 1.96-2.03
Ta5 0.8008 0.5776 0.4631  6 O 1.95-2.06
O23 0.3146 0.2913 0.3265  1 Ti 1.79
O24 0.8076 0.1552 0.2498  1 Ta 1.93, 1 Ti 1.94
O25 0.3034 0.0748 0.5423  2 Ta 1.98-2.00
O26 0.8038 0.8536 0.8222  1 Ta 1.99, 1 Ti 2.09
O27 0.3029 0.7038 0.1724  2 Ta 1.97-2.01
Ta6 0.7860 0.0016 0.2499  6 O 1.93-2.05
Ti2 0.7662 0.7865 0.6707  4 O 1.79-1.97
O28 0.3029 0.2038 0.8276  2 Ta 1.97-2.01
Ta7 0.7996 0.4264 0.0376  6 O 1.96-2.03
O29 0.8031 0.0647 0.8880  2 Ta 1.97-2.03
O30 0.3011 0.4976 0.7493  2 Ta 1.93-2.05
Ta8 0.8008 0.0776 0.5369  6 O 1.95-2.06

=====

Record 11
Entry from Alexandria: a crystal of SmBN2 relaxed with PBEsol (meta-GGA SCAN).

M_tot = 0.00 μB per formula unit
space-group type = No. 167
formation energy without anion corrections = -6.6 eV per formula unit

a = 6.7311 Å, b = 7.2569 Å, c = 7.2569 Å
α = 69.11°, β = 71.99°, γ = 108.01°
Closest atoms and distances in Å follow each position.
Atoms (fractional coordinates):
Sm1 0.7957 0.5457 0.9085  7 N 2.45-2.59
B1 0.7500 0.1210 0.1210  3 N 1.47
Sm2 0.7500 0.4543 0.4543  7 N 2.45-2.59
B2 0.2500 0.8790 0.8790  3 N 1.47
N1 0.7500 0.8758 0.8758  2 B 1.47
B3 0.1290 0.8790 0.2419  3 N 1.47
N2 0.2500 0.7559 0.7559  1 B 1.47
Sm3 0.7043 0.9085 0.5457  7 N 2.45-2.59
B4 0.8710 0.1210 0.7581  3 N 1.47
B5 0.6290 0.7581 0.1210  3 N 1.47
N3 0.3742 0.1242 0.7517  2 B 1.47
N4 0.5059 0.5118 0.2441  1 B 1.47
Sm4 0.2957 0.0915 0.4543  7 N 2.45-2.59
B6 0.3710 0.2419 0.8790  3 N 1.47
N5 0.9941 0.2441 0.5118  1 B 1.47
N6 0.6258 0.8758 0.2483  2 B 1.47
N7 0.1258 0.7517 0.1242  2 B 1.47
Sm5 0.2043 0.4543 0.0915  7 N 2.45-2.59
Sm6 0.2500 0.5457 0.5457  7 N 2.45-2.59
N8 0.7500 0.2441 0.2441  1 B 1.47
N9 0.0059 0.7559 0.4882  1 B 1.47
N10 0.2500 0.1242 0.1242  2 B 1.47
N11 0.4941 0.4882 0.7559  1 B 1.47
N12 0.8742 0.2483 0.8758  2 B 1.47

=====

Record 12
Entry from Alexandria: a crystal of LiPb3 relaxed with PBEsol (meta-GGA SCAN).

M_tot = 0.00 μB per formula unit
ΔH_f (0 K) = -0.135 eV/atom
space-group type = No. 44

a = 3.5873 Å, b = 5.5797 Å, c = 6.3051 Å
α = 116.26°, β = 106.53°, γ = 90.00°
Closest atoms and distances in Å follow each position.
Atoms (fractional coordinates):
Pb1 0.5000 0.4604 0.0000  4 Li 3.21-3.43, 8 Pb 3.37-3.59
Pb2 0.7355 0.0968 0.4710  3 Li 3.17-3.53, 7 Pb 3.33-3.40
Pb3 0.2645 0.6258 0.5290  3 Li 3.17-3.53, 7 Pb 3.33-3.40
Li1 0.0000 0.9836 0.0000  10 Pb 3.17-3.53